# LiBS4O14 GGA-PBE optimized geometry
# Volume = 14.234 Å³ per atom
# Final energy = -6.147 eV/atom
# D(E_F) = 0.0 states/eV per cell
data_LiBS4O14
_chemical_formula_sum 'Li8 B8 S32 O112'
_cell_length_a 11.088
_cell_length_b 11.149
_cell_length_c 18.425
_cell_angle_alpha 90.00
_cell_angle_beta 90.00
_cell_angle_gamma 90.00
_symmetry_space_group_name_H-M 'P 21 21 21'
_symmetry_Int_Tables_number 19
_symmetry_space_group_name_Hall 'P 2ac 2ab'
loop_
_atom_site_label
_atom_site_fract_x
_atom_site_fract_y
_atom_site_fract_z
Li1 0.106 0.140 0.406
Li2 0.118 0.847 0.652
B1 0.094 0.645 0.376
B2 0.136 0.378 0.626
S1 0.015 0.925 0.104
S2 0.084 0.150 0.606
S3 0.090 0.093 0.213
S4 0.097 0.826 0.854
S5 0.158 0.840 0.461
S6 0.168 0.532 0.064
S7 0.184 0.268 0.857
S8 0.219 0.576 0.690
O1 0.006 0.397 0.608
O2 0.027 0.661 0.307
O3 0.052 0.540 0.418
O4 0.054 0.685 0.866
O5 0.054 0.956 0.190
O6 0.068 0.320 0.863
O7 0.068 0.327 0.388
O8 0.072 0.752 0.422
O9 0.087 0.161 0.529
O10 0.088 0.621 0.092
O11 0.096 0.847 0.777
O12 0.100 0.089 0.290
O13 0.108 0.039 0.641
O14 0.121 0.912 0.062
O15 0.125 0.653 0.664
O16 0.141 0.956 0.431
O17 0.142 0.472 0.998
O18 0.152 0.824 0.538
O19 0.159 0.250 0.643
O20 0.177 0.426 0.126
O21 0.177 0.443 0.692
O22 0.189 0.132 0.169
O23 0.200 0.422 0.561
O24 0.204 0.839 0.895
O25 0.208 0.210 0.940
O26 0.212 0.178 0.805
O27 0.219 0.398 0.256
O28 0.222 0.629 0.359